1.
# PBE Dy8TmSn6, relaxed
data_Dy8TmSn6
_chemical_formula_sum 'Dy8 Tm1 Sn6'
_space_group_name_H-M_alt 'P 1'
_space_group_IT_number 1
_cell_length_a 9.010
_cell_length_b 9.010
_cell_length_c 8.310
_cell_angle_alpha 57.17
_cell_angle_beta 57.17
_cell_angle_gamma 60.00
loop_
_space_group_symop_operation_xyz
'x,y,z'
loop_
_atom_site_label
_atom_site_type_symbol
_atom_site_fract_x
_atom_site_fract_y
_atom_site_fract_z
_atom_site_occupancy
Dy1 Dy 0.440 0.772 0.682 1
Dy2 Dy 0.894 0.560 0.318 1
Dy3 Dy 0.106 0.440 0.682 1
Dy4 Dy 0.772 0.106 0.682 1
Dy5 Dy 0.667 0.667 0.000 1
Dy6 Dy 0.228 0.894 0.318 1
Dy7 Dy 0.560 0.228 0.318 1
Dy8 Dy 0.333 0.333 0.000 1
Sn1 Sn 0.265 0.601 0.201 1
Sn2 Sn 0.601 0.933 0.201 1
Sn3 Sn 0.399 0.067 0.799 1
Sn4 Sn 0.067 0.735 0.799 1
Sn5 Sn 0.735 0.399 0.799 1
Sn6 Sn 0.933 0.265 0.201 1
Tm1 Tm 0.000 0.000 0.000 1
# DOS(E_F) = 9.58 states/eV/cell
# energy relative to the elements = -0.532 eV per atom
# M_tot = 0.00 μB per formula unit


2.
# PBE AlHgIN2, relaxed
data_AlHgIN2
_chemical_formula_sum 'Al1 Hg1 I1 N2'
_space_group_name_H-M_alt 'P 1'
_space_group_IT_number 1
_cell_length_a 3.928
_cell_length_b 3.928
_cell_length_c 6.621
_cell_angle_alpha 90.00
_cell_angle_beta 90.00
_cell_angle_gamma 90.00
loop_
_space_group_symop_operation_xyz
'x,y,z'
loop_
_atom_site_label
_atom_site_type_symbol
_atom_site_fract_x
_atom_site_fract_y
_atom_site_fract_z
_atom_site_occupancy
Al1 Al 0.000 0.000 0.000 1
Hg1 Hg 0.500 0.500 0.500 1
I1 I 0.000 0.000 0.500 1
N1 N 0.000 0.500 0.000 1
N2 N 0.500 0.000 0.000 1
# DOS(E_F) = 2.43 states/eV/cell
# uncorrected formation energy = 890 meV per atom
# M_tot = 0.79 μB per formula unit


3.
# PBE PmErCu2Ge2, relaxed
data_PmErCu2Ge2
_chemical_formula_sum 'Pm1 Er1 Cu2 Ge2'
_space_group_name_H-M_alt 'P 1'
_space_group_IT_number 1
_cell_length_a 4.260
_cell_length_b 4.260
_cell_length_c 7.496
_cell_angle_alpha 90.00
_cell_angle_beta 90.00
_cell_angle_gamma 120.00
loop_
_space_group_symop_operation_xyz
'x,y,z'
loop_
_atom_site_label
_atom_site_type_symbol
_atom_site_fract_x
_atom_site_fract_y
_atom_site_fract_z
_atom_site_occupancy
Cu1 Cu 0.333 0.667 0.729 1
Cu2 Cu 0.667 0.333 0.271 1
Ge1 Ge 0.667 0.333 0.741 1
Ge2 Ge 0.333 0.667 0.259 1
Pm1 Pm 0.000 0.000 0.000 1
Er1 Er 0.000 0.000 0.500 1
# DOS(E_F) = 1.22 states/eV/cell
# energy relative to the elements = -0.681 eV per atom
# M_tot = 0.00 μB per formula unit


4.
# PBE HoB4Ir5, relaxed
data_HoB4Ir5
_chemical_formula_sum 'Ho2 B8 Ir10'
_space_group_name_H-M_alt 'P 1'
_space_group_IT_number 1
_cell_length_a 5.395
_cell_length_b 6.888
_cell_length_c 6.888
_cell_angle_alpha 90.00
_cell_angle_beta 90.00
_cell_angle_gamma 90.00
loop_
_space_group_symop_operation_xyz
'x,y,z'
loop_
_atom_site_label
_atom_site_type_symbol
_atom_site_fract_x
_atom_site_fract_y
_atom_site_fract_z
_atom_site_occupancy
B1 B 0.587 0.000 0.713 1
B2 B 0.587 0.000 0.287 1
B3 B 0.413 0.287 0.000 1
B4 B 0.413 0.500 0.787 1
B5 B 0.413 0.713 0.000 1
B6 B 0.587 0.213 0.500 1
B7 B 0.587 0.787 0.500 1
B8 B 0.413 0.500 0.213 1
Ir1 Ir 0.268 0.789 0.711 1
Ir2 Ir 0.105 0.500 0.000 1
Ir3 Ir 0.268 0.211 0.711 1
Ir4 Ir 0.732 0.289 0.211 1
Ir5 Ir 0.268 0.789 0.289 1
Ir6 Ir 0.732 0.711 0.211 1
Ir7 Ir 0.732 0.711 0.789 1
Ir8 Ir 0.895 0.000 0.500 1
Ir9 Ir 0.732 0.289 0.789 1
Ir10 Ir 0.268 0.211 0.289 1
Ho1 Ho 0.000 0.500 0.500 1
Ho2 Ho 0.000 0.000 0.000 1
# DOS(E_F) = 6.82 states/eV/cell
# energy relative to the elements = -0.254 eV per atom
# M_tot = 0.00 μB per formula unit


5.
# PBE InCu4Pb, relaxed
data_InCu4Pb
_chemical_formula_sum 'In1 Cu4 Pb1'
_space_group_name_H-M_alt 'P 1'
_space_group_IT_number 1
_cell_length_a 5.173
_cell_length_b 5.173
_cell_length_c 5.173
_cell_angle_alpha 60.00
_cell_angle_beta 60.00
_cell_angle_gamma 60.00
loop_
_space_group_symop_operation_xyz
'x,y,z'
loop_
_atom_site_label
_atom_site_type_symbol
_atom_site_fract_x
_atom_site_fract_y
_atom_site_fract_z
_atom_site_occupancy
Cu1 Cu 0.376 0.376 0.873 1
Cu2 Cu 0.873 0.376 0.376 1
Cu3 Cu 0.376 0.873 0.376 1
Cu4 Cu 0.376 0.376 0.376 1
Pb1 Pb 0.000 0.000 0.000 1
In1 In 0.750 0.750 0.750 1
# DOS(E_F) = 3.16 states/eV/cell
# energy relative to the elements = 0.105 eV per atom
# M_tot = 0.00 μB per formula unit


6.
# PBE PrNdSm2Tm4, relaxed
data_PrNdSm2Tm4
_chemical_formula_sum 'Pr2 Nd2 Sm4 Tm8'
_space_group_name_H-M_alt 'P 1'
_space_group_IT_number 1
_cell_length_a 9.512
_cell_length_b 9.512
_cell_length_c 11.841
_cell_angle_alpha 128.49
_cell_angle_beta 128.49
_cell_angle_gamma 88.28
loop_
_space_group_symop_operation_xyz
'x,y,z'
loop_
_atom_site_label
_atom_site_type_symbol
_atom_site_fract_x
_atom_site_fract_y
_atom_site_fract_z
_atom_site_occupancy
Sm1 Sm 0.000 0.000 0.500 1
Sm2 Sm 0.500 0.000 0.000 1
Sm3 Sm 0.500 0.000 0.500 1
Sm4 Sm 0.500 0.500 0.000 1
Tm1 Tm 0.252 0.749 0.000 1
Tm2 Tm 0.249 0.752 0.500 1
Tm3 Tm 0.249 0.249 0.997 1
Tm4 Tm 0.751 0.751 0.003 1
Tm5 Tm 0.251 0.251 0.503 1
Tm6 Tm 0.751 0.248 0.500 1
Tm7 Tm 0.749 0.749 0.497 1
Tm8 Tm 0.748 0.251 0.000 1
Pr1 Pr 0.500 0.500 0.500 1
Pr2 Pr 0.000 0.000 0.000 1
Nd1 Nd 0.000 0.500 0.500 1
Nd2 Nd 0.000 0.500 0.000 1
# DOS(E_F) = 37.57 states/eV/cell
# energy relative to the elements = 0.416 eV per atom
# M_tot = 1.81 μB per formula unit


7.
# PBE Nd3Y13, relaxed
data_Nd3Y13
_chemical_formula_sum 'Nd3 Y13'
_space_group_name_H-M_alt 'P 1'
_space_group_IT_number 1
_cell_length_a 7.343
_cell_length_b 8.536
_cell_length_c 8.536
_cell_angle_alpha 96.01
_cell_angle_beta 90.00
_cell_angle_gamma 90.00
loop_
_space_group_symop_operation_xyz
'x,y,z'
loop_
_atom_site_label
_atom_site_type_symbol
_atom_site_fract_x
_atom_site_fract_y
_atom_site_fract_z
_atom_site_occupancy
Y1 Y 0.500 0.211 0.293 1
Y2 Y 0.000 0.707 0.791 1
Y3 Y 0.500 0.707 0.789 1
Y4 Y 0.250 0.461 0.043 1
Y5 Y 0.250 0.957 0.539 1
Y6 Y 0.750 0.461 0.043 1
Y7 Y 0.250 0.542 0.458 1
Y8 Y 0.500 0.790 0.210 1
Y9 Y 0.750 0.542 0.458 1
Y10 Y 0.000 0.790 0.210 1
Y11 Y 0.750 0.957 0.539 1
Y12 Y 0.000 0.209 0.293 1
Y13 Y 0.500 0.293 0.707 1
Nd1 Nd 0.251 0.040 0.960 1
Nd2 Nd 0.000 0.292 0.708 1
Nd3 Nd 0.749 0.040 0.960 1
# DOS(E_F) = 30.88 states/eV/cell
# energy relative to the elements = 0.007 eV per atom
# M_tot = 0.00 μB per formula unit


8.
# PBE ScAl2Ir, relaxed
data_ScAl2Ir
_chemical_formula_sum 'Sc1 Al2 Ir1'
_space_group_name_H-M_alt 'P 1'
_space_group_IT_number 1
_cell_length_a 4.452
_cell_length_b 4.452
_cell_length_c 4.452
_cell_angle_alpha 60.00
_cell_angle_beta 60.00
_cell_angle_gamma 60.00
loop_
_space_group_symop_operation_xyz
'x,y,z'
loop_
_atom_site_label
_atom_site_type_symbol
_atom_site_fract_x
_atom_site_fract_y
_atom_site_fract_z
_atom_site_occupancy
Al1 Al 0.750 0.750 0.750 1
Al2 Al 0.250 0.250 0.250 1
Sc1 Sc 0.000 0.000 0.000 1
Ir1 Ir 0.500 0.500 0.500 1
# DOS(E_F) = 1.53 states/eV/cell
# energy relative to the elements = -0.709 eV per atom
# M_tot = 0.00 μB per formula unit


9.
# PBE Rb3TePd, relaxed
data_Rb3TePd
_chemical_formula_sum 'Rb3 Te1 Pd1'
_space_group_name_H-M_alt 'P 1'
_space_group_IT_number 1
_cell_length_a 6.055
_cell_length_b 6.055
_cell_length_c 6.055
_cell_angle_alpha 90.00
_cell_angle_beta 90.00
_cell_angle_gamma 90.00
loop_
_space_group_symop_operation_xyz
'x,y,z'
loop_
_atom_site_label
_atom_site_type_symbol
_atom_site_fract_x
_atom_site_fract_y
_atom_site_fract_z
_atom_site_occupancy
Te1 Te 0.500 0.500 0.500 1
Rb1 Rb 0.500 0.000 0.000 1
Rb2 Rb 0.000 0.000 0.500 1
Rb3 Rb 0.000 0.500 0.000 1
Pd1 Pd 0.000 0.000 0.000 1
# DOS(E_F) = 3.94 states/eV/cell
# uncorrected formation energy = -190 meV per atom
# M_tot = 0.00 μB per formula unit


10.
# PBE ScMo2Pb, relaxed
data_ScMo2Pb
_chemical_formula_sum 'Sc1 Mo2 Pb1'
_space_group_name_H-M_alt 'P 1'
_space_group_IT_number 1
_cell_length_a 4.722
_cell_length_b 4.722
_cell_length_c 4.722
_cell_angle_alpha 120.18
_cell_angle_beta 120.18
_cell_angle_gamma 89.68
loop_
_space_group_symop_operation_xyz
'x,y,z'
loop_
_atom_site_label
_atom_site_type_symbol
_atom_site_fract_x
_atom_site_fract_y
_atom_site_fract_z
_atom_site_occupancy
Mo1 Mo 0.250 0.750 0.500 1
Mo2 Mo 0.000 0.000 0.000 1
Sc1 Sc 0.750 0.250 0.500 1
Pb1 Pb 0.500 0.500 0.000 1
# DOS(E_F) = 2.58 states/eV/cell
# energy relative to the elements = 0.233 eV per atom
# M_tot = 0.00 μB per formula unit